# 1
{
  "formula": "TaRe2P",
  "functional": "PBE",
  "state": "relaxed",
  "lattice": [[-0.728, 2.665, 0.895], [-1.370, -1.540, 3.474], [4.680, 0.573, 2.099]],
  "species": ["Ta", "Re", "Re", "P"],
  "frac_coords": [[0.000, 0.000, 0.515], [0.000, 0.000, 0.005], [0.500, 0.500, 0.225], [0.500, 0.500, 0.754]],
  "ef_kj_per_mol_atoms": 0.4,
  "space_group": "Pmm2 (25)",
  "total_magnetization_mub_per_fu": 0.000,
  "e_tot_ev_per_cell": -42.14
}

***

# 2
{
  "formula": "TaReP2",
  "functional": "PBE",
  "state": "relaxed",
  "lattice": [[-0.704, 0.328, -2.744], [-0.364, -2.726, 0.754], [-8.865, 1.873, 2.497]],
  "species": ["P", "P", "Re", "Ta"],
  "frac_coords": [[0.000, 0.000, 0.942], [0.500, 0.500, 0.318], [0.000, 0.000, 0.500], [0.500, 0.500, 0.740]],
  "ef_kj_per_mol_atoms": 9.0,
  "space_group": "Cmm2 (35)",
  "total_magnetization_mub_per_fu": 0.000,
  "e_tot_ev_per_cell": -34.75
}

***

# 3
{
  "formula": "TaRe2P",
  "functional": "PBE",
  "state": "relaxed",
  "lattice": [[-2.094, 2.024, 6.625], [-0.127, -6.931, 2.077], [1.298, -2.285, 5.061]],
  "species": ["Re", "Re", "Re", "Re", "P", "P", "Ta", "Ta"],
  "frac_coords": [[0.544, 0.125, 0.250], [0.206, 0.625, 0.250], [0.375, 0.456, 0.750], [0.875, 0.794, 0.750], [0.500, 0.500, 0.000], [0.250, 0.750, 0.500], [0.000, 0.000, 0.000], [0.750, 0.250, 0.500]],
  "ef_kj_per_mol_atoms": 27.9,
  "space_group": "I-42d (122)",
  "total_magnetization_mub_per_fu": 0.000,
  "e_tot_ev_per_cell": -82.01
}

***

# 4
{
  "formula": "TaReP",
  "functional": "PBE",
  "state": "relaxed",
  "lattice": [[0.755, 0.505, 3.997], [-3.063, 0.918, 2.565], [-1.315, -2.788, 2.702]],
  "species": ["Ta", "Re", "P"],
  "frac_coords": [[0.500, 0.500, 0.500], [0.000, 0.000, 0.000], [0.750, 0.750, 0.750]],
  "ef_kj_per_mol_atoms": 12.3,
  "space_group": "F-43m (216)",
  "total_magnetization_mub_per_fu": 0.000,
  "e_tot_ev_per_cell": -29.33
}

***

# 5
{
  "formula": "TaReP2",
  "functional": "PBE",
  "state": "relaxed",
  "lattice": [[-2.098, -1.298, -7.358], [-4.109, -3.014, -5.853], [-4.627, -0.041, -6.230]],
  "species": ["P", "P", "Re", "Ta"],
  "frac_coords": [[0.997, 0.997, 0.997], [0.250, 0.250, 0.250], [0.510, 0.510, 0.510], [0.744, 0.744, 0.744]],
  "ef_kj_per_mol_atoms": -13.4,
  "space_group": "R3m (160)",
  "total_magnetization_mub_per_fu": 0.000,
  "e_tot_ev_per_cell": -35.68
}

***

# 6
{
  "formula": "TaReP2",
  "functional": "PBE",
  "state": "relaxed",
  "lattice": [[0.000, 3.032, 3.032], [3.032, 0.000, 3.032], [3.032, 3.032, 0.000]],
  "species": ["Re", "P", "P", "Ta"],
  "frac_coords": [[0.500, 0.500, 0.500], [0.250, 0.250, 0.250], [0.750, 0.750, 0.750], [0.000, 0.000, 0.000]],
  "ef_kj_per_mol_atoms": -23.7,
  "space_group": "Fm-3m (225)",
  "total_magnetization_mub_per_fu": 0.000,
  "e_tot_ev_per_cell": -36.10
}

***

# 7
{
  "formula": "TaReP2",
  "functional": "PBE",
  "state": "relaxed",
  "lattice": [[-0.003, -0.177, -4.703], [2.427, -3.833, -1.251], [-3.562, 0.498, 3.035]],
  "species": ["P", "P", "Re", "Ta"],
  "frac_coords": [[0.000, 0.000, 0.000], [0.250, 0.750, 0.500], [0.500, 0.500, 0.000], [0.750, 0.250, 0.500]],
  "ef_kj_per_mol_atoms": 10.3,
  "space_group": "I-4m2 (119)",
  "total_magnetization_mub_per_fu": 0.021,
  "e_tot_ev_per_cell": -34.69
}

***

# 8
{
  "formula": "Ta2ReP",
  "functional": "PBE",
  "state": "relaxed",
  "lattice": [[2.952, -3.608, 0.879], [-2.753, -3.286, 2.031], [-0.693, 2.323, -4.077]],
  "species": ["Ta", "Ta", "Re", "P"],
  "frac_coords": [[0.750, 0.250, 0.500], [0.250, 0.750, 0.500], [0.000, 0.000, 0.000], [0.500, 0.500, 0.000]],
  "ef_kj_per_mol_atoms": -0.1,
  "space_group": "I4/mmm (139)",
  "total_magnetization_mub_per_fu": 0.000,
  "e_tot_ev_per_cell": -41.57
}